# 1
Here is RbZnPb2I at its PBEsol-relaxed geometry from Alexandria via LeMat-Bulk. Energies are from SCAN.

Values from the calculation:
E ... -220.3 eV/cell
E_form (uncorrected) ... 0.450 eV/atom
DOS at the Fermi energy ... 1.002 states/eV/atom
Magnetic moment ... 0.0 Bohr magnetons per cell

abc: 6.0153 6.0153 6.5813
angles: 90.00 90.00 90.00
Closest atoms and distances in Å follow each position.
Fractional positions:
Rb 0.0000 0.0000 0.5000  2 I 3.29
Pb 0.0000 0.5000 0.0000  2 I 3.01
Pb 0.5000 0.0000 0.0000  2 I 3.01
Zn 0.5000 0.5000 0.5000  4 Rb 4.25, 8 Pb 4.46
I 0.0000 0.0000 0.0000  4 Pb 3.01, 2 Rb 3.29



# 2
Here is Ni3AgCl at its PBEsol-relaxed geometry from Alexandria via LeMat-Bulk. Energies are from SCAN.

Values from the calculation:
E ... -81.6 eV/cell
E_form (uncorrected) ... 1.262 eV/atom
DOS at the Fermi energy ... 0.876 states/eV/atom
Magnetic moment ... 3.4 Bohr magnetons per cell

abc: 4.6128 4.6128 4.6128
angles: 90.00 90.00 90.00
Closest atoms and distances in Å follow each position.
Fractional positions:
Ni 0.0000 0.5000 0.0000  2 Ag 2.31
Ni 0.0000 0.0000 0.5000  2 Ag 2.31
Ni 0.5000 0.0000 0.0000  2 Ag 2.31
Ag 0.0000 0.0000 0.0000  6 Ni 2.31
Cl 0.5000 0.5000 0.5000  12 Ni 3.26



# 3
Here is PIrAuC2 at its PBEsol-relaxed geometry from Alexandria via LeMat-Bulk. Energies are from SCAN.

Values from the calculation:
E_form ... 1333.6 meV/atom
E ... -164.2 eV/cell
DOS at the Fermi energy ... 0.449 states/eV/atom
Magnetic moment ... 0.0 Bohr magnetons per cell

abc: 3.7899 3.7899 5.3834
angles: 90.00 90.00 90.00
Closest atoms and distances in Å follow each position.
Fractional positions:
C 0.0000 0.5000 0.0000  2 Ir 1.89
C 0.5000 0.0000 0.0000  2 Ir 1.89
Au 0.5000 0.5000 0.5000  4 P 2.68
P 0.0000 0.0000 0.5000  4 Au 2.68, 2 Ir 2.69
Ir 0.0000 0.0000 0.0000  4 C 1.89



# 4
Here is ScZnBr at its PBEsol-relaxed geometry from Alexandria via LeMat-Bulk. Energies are from SCAN.

Values from the calculation:
E ... -48.2 eV/cell
E_form (uncorrected) ... -0.320 eV/atom
DOS at the Fermi energy ... 0.708 states/eV/atom
Relative energy among the computed polymorphs ... 0 meV per atom
Magnetic moment ... 0.0 Bohr magnetons per cell

abc: 3.5400 4.5805 4.5805
angles: 120.00 90.00 90.00
Closest atoms and distances in Å follow each position.
Fractional positions:
Sc 0.0000 0.6667 0.3333  3 Br 2.64
Br 0.0000 0.0000 0.0000  3 Sc 2.64
Zn 0.5000 0.3333 0.6667  6 Sc 3.18, 6 Br 3.18, 2 Zn 3.54



# 5
Here is LiZrOs4 at its PBEsol-relaxed geometry from Alexandria via LeMat-Bulk. Energies are from SCAN.

Values from the calculation:
E_form ... -96.7 meV/atom
E ... -321.2 eV/cell
DOS at the Fermi energy ... 1.136 states/eV/atom
Magnetic moment ... 0.0 Bohr magnetons per cell

abc: 5.1474 5.1474 5.1474
angles: 60.00 60.00 60.00
Closest atoms and distances in Å follow each position.
Fractional positions:
Li 0.0000 0.0000 0.0000  12 Os 3.02, 4 Zr 3.15
Os 0.1242 0.6253 0.6253  6 Os 2.57-2.58
Os 0.6253 0.6253 0.6253  6 Os 2.57-2.58
Os 0.6253 0.1242 0.6253  6 Os 2.57-2.58
Os 0.6253 0.6253 0.1242  6 Os 2.57-2.58
Zr 0.2500 0.2500 0.2500  12 Os 3.02, 4 Li 3.15



# 6
Here is CoHgPt2 at its PBEsol-relaxed geometry from Alexandria via LeMat-Bulk. Energies are from SCAN.

Values from the calculation:
E_form ... 81.8 meV/atom
E ... -225.5 eV/cell
DOS at the Fermi energy ... 0.588 states/eV/atom
Magnetic moment ... 2.0 Bohr magnetons per cell

abc: 2.7959 4.7925 4.7970
angles: 101.10 90.00 106.96
Closest atoms and distances in Å follow each position.
Fractional positions:
Hg 0.5000 0.0000 0.0000  6 Pt 2.75-2.84, 4 Co 2.78, 2 Hg 2.80
Pt 0.2601 0.5202 0.2652  3 Co 2.66-2.83, 6 Pt 2.69-2.88, 3 Hg 2.75-2.84
Pt 0.7399 0.4798 0.7348  3 Co 2.66-2.83, 6 Pt 2.69-2.88, 3 Hg 2.75-2.84
Co 0.0000 0.0000 0.5000  6 Pt 2.66-2.83, 4 Hg 2.78, 2 Co 2.80



# 7
Here is FeSiW at its PBEsol-relaxed geometry from Alexandria via LeMat-Bulk. Energies are from SCAN.

Values from the calculation:
E ... -98.6 eV/cell
E_form (uncorrected) ... -0.246 eV/atom
DOS at the Fermi energy ... 0.070 states/eV/atom
Relative energy among the computed polymorphs ... 0 meV per atom
Magnetic moment ... 0.0 Bohr magnetons per cell

abc: 3.8862 3.8862 3.8862
angles: 60.00 60.00 60.00
Closest atoms and distances in Å follow each position.
Fractional positions:
W 0.5000 0.5000 0.5000  4 Fe 2.38
Fe 0.2500 0.2500 0.2500  4 W 2.38, 4 Si 2.38
Si 0.0000 0.0000 0.0000  4 Fe 2.38



# 8
Here is LaNiAu3 at its PBEsol-relaxed geometry from Alexandria via LeMat-Bulk. Energies are from SCAN.

Values from the calculation:
E_form ... -369.2 meV/atom
E ... -268.6 eV/cell
DOS at the Fermi energy ... 0.611 states/eV/atom
Magnetic moment ... 0.0 Bohr magnetons per cell

abc: 4.7543 4.7543 4.7543
angles: 90.00 90.00 90.00
Closest atoms and distances in Å follow each position.
Fractional positions:
Au 0.0000 0.5000 0.0000  2 Ni 2.38
Au 0.5000 0.0000 0.0000  2 Ni 2.38
Au 0.0000 0.0000 0.5000  2 Ni 2.38
Ni 0.0000 0.0000 0.0000  6 Au 2.38
La 0.5000 0.5000 0.5000  12 Au 3.36



# 9
Here is ZnSiAg2 at its PBEsol-relaxed geometry from Alexandria via LeMat-Bulk. Energies are from SCAN.

Values from the calculation:
E ... -85.3 eV/cell
E_form (uncorrected) ... 0.234 eV/atom
DOS at the Fermi energy ... 0.287 states/eV/atom
Relative energy among the computed polymorphs ... 26 meV per atom
Magnetic moment ... 0.0 Bohr magnetons per cell

abc: 2.7826 3.9501 5.6478
angles: 90.00 90.00 90.00
Closest atoms and distances in Å follow each position.
Fractional positions:
Zn 0.5000 0.5000 0.5000  2 Zn 2.78, 8 Ag 2.79, 2 Si 2.82
Ag 0.0000 0.0000 0.7476  4 Ag 2.78-2.85, 4 Zn 2.79, 4 Si 2.80
Ag 0.0000 0.0000 0.2524  4 Ag 2.78-2.85, 4 Zn 2.79, 4 Si 2.80
Si 0.5000 0.5000 0.0000  2 Si 2.78, 8 Ag 2.80, 2 Zn 2.82



# 10
Here is RuRhSCl2 at its PBEsol-relaxed geometry from Alexandria via LeMat-Bulk. Energies are from SCAN.

Values from the calculation:
E ... -91.5 eV/cell
E_form (uncorrected) ... 0.538 eV/atom
DOS at the Fermi energy ... 0.607 states/eV/atom
Magnetic moment ... 3.8 Bohr magnetons per cell

abc: 4.5219 4.6528 4.6528
angles: 90.00 90.00 90.00
Closest atoms and distances in Å follow each position.
Fractional positions:
Cl 0.0000 0.5000 0.0000  2 Rh 2.33
Cl 0.0000 0.0000 0.5000  2 Rh 2.33
S 0.5000 0.0000 0.0000  2 Rh 2.26
Rh 0.0000 0.0000 0.0000  2 S 2.26, 4 Cl 2.33
Ru 0.5000 0.5000 0.5000  8 Cl 3.24, 4 S 3.29



# 11
Here is Mn2ReSb at its PBEsol-relaxed geometry from Alexandria via LeMat-Bulk. Energies are from SCAN.

Values from the calculation:
E ... -144.0 eV/cell
E_form (uncorrected) ... 0.229 eV/atom
DOS at the Fermi energy ... 0.760 states/eV/atom
Magnetic moment ... 4.8 Bohr magnetons per cell

abc: 2.8980 4.3477 4.4398
angles: 90.00 90.00 90.00
Closest atoms and distances in Å follow each position.
Fractional positions:
Re 0.5000 0.0000 0.5604  8 Mn 2.53-2.77, 2 Sb 2.72
Mn 0.0000 0.5000 0.7174  4 Sb 2.56-2.74, 2 Mn 2.58, 4 Re 2.70
Mn 0.0000 0.0000 0.0288  4 Re 2.53-2.77, 2 Mn 2.58, 4 Sb 2.71
Sb 0.5000 0.5000 0.1933  8 Mn 2.56-2.74, 2 Re 2.72



# 12
Here is SrCo2SiAs at its PBEsol-relaxed geometry from Alexandria via LeMat-Bulk. Energies are from SCAN.

Values from the calculation:
E ... -86.4 eV/cell
E_form (uncorrected) ... 0.135 eV/atom
DOS at the Fermi energy ... 0.603 states/eV/atom
Magnetic moment ... 2.6 Bohr magnetons per cell

abc: 4.3272 4.3272 4.9582
angles: 90.00 90.00 90.00
Closest atoms and distances in Å follow each position.
Fractional positions:
Sr 0.5000 0.5000 0.5000  4 As 3.06, 8 Co 3.29
As 0.0000 0.0000 0.5000  2 Si 2.48
Co 0.0000 0.5000 0.0000  2 Si 2.16
Co 0.5000 0.0000 0.0000  2 Si 2.16
Si 0.0000 0.0000 0.0000  4 Co 2.16



# 13
Here is PmNdHg2 at its PBEsol-relaxed geometry from Alexandria via LeMat-Bulk. Energies are from SCAN.

Values from the calculation:
E_form ... -685.3 meV/atom
E ... -226.6 eV/cell
DOS at the Fermi energy ... 1.178 states/eV/atom
Magnetic moment ... 0.6 Bohr magnetons per cell

abc: 5.3024 5.3024 5.3024
angles: 60.00 60.00 60.00
Closest atoms and distances in Å follow each position.
Fractional positions:
Hg 0.7500 0.7500 0.7500  4 Nd 3.25, 4 Pm 3.25
Hg 0.2500 0.2500 0.2500  4 Nd 3.25, 4 Pm 3.25
Pm 0.0000 0.0000 0.0000  8 Hg 3.25
Nd 0.5000 0.5000 0.5000  8 Hg 3.25